Record 1
{"formula": "PrPbAu2", "functional": "PBE-GGA", "state": "optimized geometry", "lattice_angstrom": [[5.1686, 0.0000, 0.0000], [2.5843, 4.4754, 0.0001], [2.5843, 1.4919, 4.2195]], "species": ["Au", "Au", "Pr", "Pb"], "frac_coords": [[0.5000, 0.5000, 0.5000], [0.0000, 0.0000, 0.0000], [0.2500, 0.2500, 0.2500], [0.7500, 0.7500, 0.7500]], "delta_e_f_ev_per_atom": -0.6113}

---

Record 2
{"formula": "PrPb2Au", "functional": "PBE-GGA", "state": "optimized geometry", "lattice_angstrom": [[3.6235, 0.0000, 0.0000], [1.8117, 3.1380, 0.0000], [1.8117, 1.0460, 10.7705]], "species": ["Pr", "Pb", "Pb", "Au"], "frac_coords": [[0.0000, 0.0000, 0.0000], [0.1011, 0.1011, 0.6966], [0.8989, 0.8989, 0.3034], [0.5000, 0.5000, 0.5000]], "polymorph_energy_ev_per_atom": 0.539, "delta_e_f_ev_per_atom": 0.0448}

---

Record 3
{"formula": "PrPb2Au", "functional": "PBE-GGA", "state": "optimized geometry", "lattice_angstrom": [[-1.8601, 0.1808, 4.7115], [-2.1465, -4.5421, -0.6732], [9.0938, -1.6066, 0.9253]], "species": ["Pb", "Pb", "Pb", "Pb", "Au", "Au", "Pr", "Pr"], "frac_coords": [[0.5000, 0.0000, 0.0000], [0.0000, 0.5000, 0.0000], [0.6413, 0.6413, 0.2826], [0.3587, 0.3587, 0.7174], [0.2500, 0.7500, 0.5000], [0.7500, 0.2500, 0.5000], [0.8603, 0.8603, 0.7207], [0.1397, 0.1397, 0.2793]], "polymorph_energy_ev_per_atom": 0.000, "delta_e_f_ev_per_atom": -0.4944}

---

Record 4
{"formula": "Pr2PbAu6", "functional": "PBE-GGA", "state": "optimized geometry", "lattice_angstrom": [[-2.5596, -2.4224, 1.0011], [5.8863, -5.0647, 2.7943], [-3.3446, 5.6161, 5.0380]], "species": ["Au", "Au", "Au", "Au", "Au", "Au", "Pr", "Pr", "Pb"], "frac_coords": [[0.5000, 0.3341, 0.3341], [0.5000, 0.3341, 0.0000], [0.5000, 0.6659, 0.6659], [0.5000, 0.0000, 0.3341], [0.5000, 0.6659, 0.0000], [0.5000, 0.0000, 0.6659], [0.0000, 0.3333, 0.6667], [0.0000, 0.6667, 0.3333], [0.0000, 0.0000, 0.0000]], "polymorph_energy_ev_per_atom": 0.025, "delta_e_f_ev_per_atom": -0.5069}

---

Record 5
{"formula": "PrPbAu6", "functional": "PBE-GGA", "state": "optimized geometry", "lattice_angstrom": [[5.5993, 0.0000, 0.0000], [0.0000, 5.5993, 0.0000], [0.0000, 0.0000, 5.5993]], "species": ["Au", "Au", "Au", "Au", "Au", "Au", "Pr", "Pb"], "frac_coords": [[0.5000, 0.7501, 0.0000], [0.2499, 0.0000, 0.5000], [0.5000, 0.2499, 0.0000], [0.0000, 0.5000, 0.2499], [0.0000, 0.5000, 0.7501], [0.7501, 0.0000, 0.5000], [0.5000, 0.5000, 0.5000], [0.0000, 0.0000, 0.0000]], "delta_e_f_ev_per_atom": -0.2747}

---

Record 6
{"formula": "Pr2PbAu6", "functional": "PBE-GGA", "state": "optimized geometry", "lattice_angstrom": [[-2.4994, 3.7893, -3.1288], [-1.5442, -4.6950, -4.4493], [-5.7271, -3.3370, 0.5368]], "species": ["Au", "Au", "Au", "Au", "Au", "Au", "Pr", "Pr", "Pb"], "frac_coords": [[0.3327, 0.8096, 0.3813], [0.3327, 0.3813, 0.8096], [0.6673, 0.1904, 0.6187], [0.6686, 0.1909, 0.1909], [0.6673, 0.6187, 0.1904], [0.3314, 0.8091, 0.8091], [0.8306, 0.6666, 0.6666], [0.1694, 0.3334, 0.3334], [0.0000, 0.0000, 0.0000]], "polymorph_energy_ev_per_atom": 0.000, "delta_e_f_ev_per_atom": -0.5316}

---

Record 7
{"formula": "Pr6PbAu5", "functional": "PBE-GGA", "state": "optimized geometry", "lattice_angstrom": [[-3.8249, 3.4603, 1.2311], [-0.8146, -3.3288, 6.8281], [7.3953, 3.2347, 2.4590]], "species": ["Pr", "Pr", "Pr", "Pr", "Pr", "Pr", "Au", "Au", "Au", "Au", "Au", "Pb"], "frac_coords": [[0.8285, 0.2531, 0.6563], [0.1715, 0.7469, 0.3437], [0.5000, 0.2629, 0.0000], [0.5000, 0.7371, 0.0000], [0.8285, 0.7469, 0.6564], [0.1715, 0.2531, 0.3436], [0.6585, 0.0000, 0.3190], [0.3341, 0.5000, 0.6664], [0.3415, 0.0000, 0.6810], [0.6659, 0.5000, 0.3336], [0.0000, 0.5000, 0.0000], [0.0000, 0.0000, 0.0000]], "delta_e_f_ev_per_atom": -0.6943}

---

Record 8
{"formula": "Pr8PbAu2", "functional": "PBE-GGA", "state": "optimized geometry", "lattice_angstrom": [[5.1408, 0.0000, 0.0000], [0.0000, 8.2981, -0.1330], [-2.5704, -3.7250, 8.1857]], "species": ["Pr", "Pr", "Pr", "Pr", "Pr", "Pr", "Pr", "Pr", "Au", "Au", "Pb"], "frac_coords": [[0.4073, 0.5372, 0.8146], [0.1807, 0.2783, 0.3614], [0.0455, 0.7580, 0.0909], [0.6814, 0.9691, 0.3629], [0.9545, 0.2420, 0.9091], [0.3186, 0.0309, 0.6371], [0.5927, 0.4628, 0.1854], [0.8193, 0.7217, 0.6386], [0.8078, 0.3459, 0.6156], [0.1922, 0.6541, 0.3844], [0.5000, 0.0000, 0.0000]], "delta_e_f_ev_per_atom": -0.3790}

---

Record 9
{"formula": "PrRhPbAu", "functional": "PBE-GGA", "state": "optimized geometry", "lattice_angstrom": [[-0.6540, 4.2070, -2.6968], [-4.6353, 1.8515, -0.6967], [-1.3774, 4.2728, 2.2904]], "species": ["Pb", "Rh", "Au", "Pr"], "frac_coords": [[0.2500, 0.2500, 0.2500], [0.0000, 0.0000, 0.0000], [0.5000, 0.5000, 0.5000], [0.7500, 0.7500, 0.7500]], "delta_e_f_ev_per_atom": -0.4092}

---

Record 10
{"formula": "PrSi2Pb2Au7", "functional": "PBE-GGA", "state": "optimized geometry", "lattice_angstrom": [[4.8741, -0.0241, -0.1312], [-0.0181, 4.8741, -0.1312], [1.7663, 1.7642, 11.4080]], "species": ["Au", "Au", "Au", "Au", "Au", "Au", "Au", "Si", "Si", "Pb", "Pb", "Pr"], "frac_coords": [[0.4186, 0.4186, 0.4002], [0.8485, 0.4348, 0.1836], [0.1515, 0.5652, 0.8164], [0.5814, 0.5814, 0.5998], [0.5652, 0.1515, 0.8164], [0.5000, 0.5000, 0.0000], [0.4348, 0.8485, 0.1836], [0.6888, 0.6888, 0.7892], [0.3112, 0.3112, 0.2108], [0.8748, 0.8748, 0.3824], [0.1252, 0.1252, 0.6176], [0.0000, 0.0000, 0.0000]], "e_form_raw_ev_per_atom": -0.2391}

---

Record 11
{"formula": "PrSmPbAu", "functional": "PBE-GGA", "state": "optimized geometry", "lattice_angstrom": [[-1.9870, -4.7369, -1.7146], [-1.7003, -3.6815, 3.5892], [-5.2880, -1.0570, 0.4961]], "species": ["Sm", "Pr", "Au", "Pb"], "frac_coords": [[0.2500, 0.2500, 0.2500], [0.7500, 0.7500, 0.7500], [0.0000, 0.0000, 0.0000], [0.5000, 0.5000, 0.5000]], "delta_e_f_ev_per_atom": -0.6136}

---

Record 12
{"formula": "SrPrPbAu", "functional": "PBE-GGA", "state": "optimized geometry", "lattice_angstrom": [[5.5416, 0.0000, 0.0000], [2.7708, 4.7991, 0.0000], [2.7708, 1.5997, 4.5247]], "species": ["Sr", "Au", "Pb", "Pr"], "frac_coords": [[0.0000, 0.0000, 0.0000], [0.2500, 0.2500, 0.2500], [0.7500, 0.7500, 0.7500], [0.5000, 0.5000, 0.5000]], "delta_e_f_ev_per_atom": -0.6262}

---

Record 13
{"formula": "TbPrPbAu", "functional": "PBE-GGA", "state": "optimized geometry", "lattice_angstrom": [[-0.7599, -1.5411, -5.0943], [1.1336, -5.0425, -1.4806], [-3.9801, -3.4046, -1.2133]], "species": ["Tb", "Pb", "Au", "Pr"], "frac_coords": [[0.7500, 0.7500, 0.7500], [0.5000, 0.5000, 0.5000], [0.0000, 0.0000, 0.0000], [0.2500, 0.2500, 0.2500]], "delta_e_f_ev_per_atom": -0.6053}

---

Record 14
{"formula": "PrZrPbAu", "functional": "PBE-GGA", "state": "optimized geometry", "lattice_angstrom": [[5.2275, 0.0000, 0.0000], [2.6138, 4.5272, 0.0000], [2.6138, 1.5091, 4.2683]], "species": ["Pr", "Au", "Zr", "Pb"], "frac_coords": [[0.7500, 0.7500, 0.7500], [0.5000, 0.5000, 0.5000], [0.2500, 0.2500, 0.2500], [0.0000, 0.0000, 0.0000]], "delta_e_f_ev_per_atom": -0.3449}

---

Record 15
{"formula": "PtPb2Au", "functional": "PBE-GGA", "state": "optimized geometry", "lattice_angstrom": [[-2.3965, 5.6462, 2.8922], [-5.5197, 2.6219, 2.9403], [-2.3123, 2.4814, 5.8722]], "species": ["Pb", "Pb", "Pt", "Au"], "frac_coords": [[0.2231, 0.2231, 0.2231], [0.0225, 0.0225, 0.0225], [0.4902, 0.4902, 0.4902], [0.7642, 0.7642, 0.7642]], "polymorph_energy_ev_per_atom": 0.073, "delta_e_f_ev_per_atom": -0.0503}

---

Record 16
{"formula": "PtPb2Au", "functional": "PBE-GGA", "state": "optimized geometry", "lattice_angstrom": [[-1.1022, 2.4753, 4.0895], [-4.1328, 1.0267, 2.4356], [-0.2360, -4.3293, 4.2242]], "species": ["Pt", "Au", "Pb", "Pb"], "frac_coords": [[0.5040, 0.5040, 0.4621], [0.2371, 0.2371, 0.2883], [0.9867, 0.9867, 0.0768], [0.7722, 0.7722, 0.6729]], "polymorph_energy_ev_per_atom": 0.078, "delta_e_f_ev_per_atom": -0.0457}

---

Record 17
{"formula": "PtPb2Au", "functional": "PBE-GGA", "state": "optimized geometry", "lattice_angstrom": [[5.8216, 0.0392, 0.0000], [2.6329, 5.1923, 0.0000], [-4.2273, -2.6158, 3.0299]], "species": ["Pb", "Pb", "Pt", "Au"], "frac_coords": [[0.0000, 0.0000, 0.0000], [0.2500, 0.7500, 0.5000], [0.5000, 0.5000, 0.0000], [0.7500, 0.2500, 0.5000]], "polymorph_energy_ev_per_atom": 0.194, "delta_e_f_ev_per_atom": 0.0705}

---

Record 18
{"formula": "Pt2PbAu", "functional": "PBE-GGA", "state": "optimized geometry", "lattice_angstrom": [[3.6175, 0.0000, 0.0000], [0.0000, 3.4904, 0.0337], [0.0000, 3.4624, 5.9621]], "species": ["Pt", "Pt", "Pb", "Au"], "frac_coords": [[0.0000, 0.5095, 0.4895], [0.0000, 0.9905, 0.0105], [0.5000, 0.7500, 0.7500], [0.5000, 0.2500, 0.2500]], "delta_e_f_ev_per_atom": 0.0373}

---

Record 19
{"formula": "Pt2Pb2Au", "functional": "PBE-GGA", "state": "optimized geometry", "lattice_angstrom": [[7.3989, 0.0000, 0.0000], [0.0000, 7.3989, 0.0000], [0.0000, 0.0000, 3.9277]], "species": ["Pt", "Pt", "Pt", "Pt", "Pb", "Pb", "Pb", "Pb", "Au", "Au"], "frac_coords": [[0.8632, 0.6368, 0.0000], [0.1368, 0.3632, 0.0000], [0.6368, 0.1368, 0.0000], [0.3632, 0.8632, 0.0000], [0.8337, 0.3337, 0.5000], [0.3337, 0.1663, 0.5000], [0.6663, 0.8337, 0.5000], [0.1663, 0.6663, 0.5000], [0.0000, 0.0000, 0.0000], [0.5000, 0.5000, 0.0000]], "polymorph_energy_ev_per_atom": 0.000, "delta_e_f_ev_per_atom": -0.0781}

---

Record 20
{"formula": "Pt2PbAu", "functional": "PBE-GGA", "state": "optimized geometry", "lattice_angstrom": [[-3.7778, 0.9104, 1.5932], [-1.5723, -1.7947, -2.7027], [-0.6020, -5.2167, 1.5537]], "species": ["Pb", "Pt", "Pt", "Au"], "frac_coords": [[0.5000, 0.7669, 0.8275], [0.5000, 0.0390, 0.3051], [0.0000, 0.2063, 0.9587], [0.0000, 0.4879, 0.4087]], "delta_e_f_ev_per_atom": 0.0135}

---

Record 21
{"formula": "PtPb2Au", "functional": "PBE-GGA", "state": "optimized geometry", "lattice_angstrom": [[4.0805, -0.1178, 0.0998], [2.0426, 3.5344, 0.0998], [2.0729, 1.1566, 6.9035]], "species": ["Au", "Pt", "Pb", "Pb"], "frac_coords": [[0.2500, 0.2500, 0.2500], [0.7500, 0.7500, 0.7500], [0.4953, 0.4953, 0.5181], [0.0047, 0.0047, 0.9819]], "polymorph_energy_ev_per_atom": 0.060, "delta_e_f_ev_per_atom": -0.0637}

---

Record 22
{"formula": "PtPbAu3", "functional": "PBE-GGA", "state": "optimized geometry", "lattice_angstrom": [[5.2068, 0.0000, 0.0000], [0.0000, 5.2068, 0.0000], [0.0000, 0.0000, 5.2068]], "species": ["Pb", "Au", "Au", "Au", "Pt"], "frac_coords": [[0.0000, 0.0000, 0.0000], [0.5000, 0.0000, 0.0000], [0.0000, 0.0000, 0.5000], [0.0000, 0.5000, 0.0000], [0.5000, 0.5000, 0.5000]], "polymorph_energy_ev_per_atom": 0.794, "delta_e_f_ev_per_atom": 1.2232}

---

Record 23
{"formula": "Pt2Pb8Au3", "functional": "PBE-GGA", "state": "optimized geometry", "lattice_angstrom": [[-1.7193, -0.7176, -4.3857], [-8.1952, 0.9657, 3.0546], [-2.4480, 8.4417, -0.4217]], "species": ["Pb", "Pb", "Pb", "Pb", "Pb", "Pb", "Pb", "Pb", "Pt", "Pt", "Au", "Au", "Au"], "frac_coords": [[0.0000, 0.6215, 0.6214], [0.0000, 0.3785, 0.3786], [0.5000, 0.6171, 0.1132], [0.5000, 0.1132, 0.6171], [0.0000, 0.8641, 0.8641], [0.5000, 0.3829, 0.8868], [0.0000, 0.1359, 0.1359], [0.5000, 0.8868, 0.3829], [0.5000, 0.7409, 0.7409], [0.5000, 0.2591, 0.2591], [0.5000, 0.0000, 0.0000], [0.0000, 0.7505, 0.2495], [0.0000, 0.2495, 0.7505]], "delta_e_f_ev_per_atom": -0.0689}

---

Record 24
{"formula": "PtPb2Au", "functional": "PBE-GGA", "state": "optimized geometry", "lattice_angstrom": [[3.4728, 0.0000, 0.0000], [0.0000, 3.4728, 0.0000], [0.0000, 0.0000, 8.0175]], "species": ["Pb", "Pb", "Au", "Pt"], "frac_coords": [[0.0000, 0.0000, 0.9341], [0.5000, 0.5000, 0.3237], [0.5000, 0.5000, 0.7165], [0.0000, 0.0000, 0.5257]], "polymorph_energy_ev_per_atom": 0.059, "delta_e_f_ev_per_atom": -0.0639}

---

Record 25
{"formula": "Pt2PbAu", "functional": "PBE-GGA", "state": "optimized geometry", "lattice_angstrom": [[-0.0101, 3.0202, -1.0655], [-1.5019, 1.2573, 3.5783], [5.3811, 0.7249, 2.0039]], "species": ["Pt", "Pt", "Pb", "Au"], "frac_coords": [[0.0000, 0.0000, 0.0013], [0.5000, 0.5000, 0.2587], [0.5000, 0.5000, 0.7661], [0.0000, 0.0000, 0.4740]], "delta_e_f_ev_per_atom": 0.0880}

---

Record 26
{"formula": "PtPb2Au", "functional": "PBE-GGA", "state": "optimized geometry", "lattice_angstrom": [[-0.8678, -2.5436, 3.3344], [2.7123, -2.6022, -1.2792], [5.3720, 1.0997, 2.2370]], "species": ["Pb", "Pb", "Pt", "Au"], "frac_coords": [[0.0000, 0.9883, 0.9198], [0.5000, 0.2642, 0.3375], [0.0000, 0.6757, 0.4509], [0.5000, 0.5718, 0.7918]], "polymorph_energy_ev_per_atom": 0.000, "delta_e_f_ev_per_atom": -0.1232}

---

Record 27
{"formula": "Pt3PbAu3", "functional": "PBE-GGA", "state": "optimized geometry", "lattice_angstrom": [[7.2599, 0.0000, 0.0000], [0.0000, 7.2599, 0.0000], [0.0000, 0.0000, 7.2599]], "species": ["Pt", "Pt", "Pt", "Pt", "Pt", "Pt", "Au", "Au", "Au", "Au", "Au", "Au", "Pb", "Pb"], "frac_coords": [[0.2500, 0.0000, 0.5000], [0.5000, 0.7500, 0.0000], [0.7500, 0.0000, 0.5000], [0.0000, 0.5000, 0.2500], [0.0000, 0.5000, 0.7500], [0.5000, 0.2500, 0.0000], [0.0000, 0.2500, 0.5000], [0.7500, 0.5000, 0.0000], [0.5000, 0.0000, 0.7500], [0.0000, 0.7500, 0.5000], [0.2500, 0.5000, 0.0000], [0.5000, 0.0000, 0.2500], [0.5000, 0.5000, 0.5000], [0.0000, 0.0000, 0.0000]], "delta_e_f_ev_per_atom": 0.7876}